(1)
The following is a PBE calculation of Pr3Nd4Sm5 after structural relaxation, from the Alexandria database.

The total magnetization is 0.00 μB/cell. Its symmetry is C2/m (12). The calculation puts the excess energy over the best structure of this formula in the dataset at 218.5 kJ/mol of formula units.

Cell and atoms, written as extended XYZ:
```
12
Lattice="6.0933 0.0000 0.0000 3.0467 7.7108 -2.8114 3.0467 -0.8858 9.4041" Properties=species:S:1:pos:R:3 pbc="T T T"
Sm 9.1400 3.4122 6.8304
Sm 6.0933 3.4125 3.2964
Sm 9.1400 6.6000 4.8799
Sm 3.0466 3.4128 -0.2377
Sm 3.0467 0.2250 1.7128
Nd 6.0933 1.6727 -0.0890
Nd 6.0933 5.1523 6.6817
Nd 9.1400 7.0409 0.8613
Nd 3.0467 -0.2159 5.7314
Pr 3.0467 3.4125 3.2964
Pr 6.0933 5.0789 0.6264
Pr 6.0933 1.7460 5.9664
```



(2)
The following is a PBE calculation of Ce6TcIr2Br3 after structural relaxation, from the Alexandria database.

The total magnetization is 4.25 μB/cell. Its symmetry is C2/m (12). For the formation energy (no corrections), the calculation gives -10.860 eV/f.u.

Cell and atoms, written as extended XYZ:
```
12
Lattice="-4.4903 -1.1726 -5.3261 6.3332 -3.1297 0.0354 -3.5772 -4.5204 5.5714" Properties=species:S:1:pos:R:3 pbc="T T T"
Ce -3.2281 -6.6234 -0.4810
Ce -2.3894 -4.7600 3.0860
Ce 1.4938 -2.1992 0.7617
Ce 0.3221 -7.2653 1.2776
Ce -2.0565 -1.5573 -0.9969
Ce 0.6550 -4.0626 -2.8053
Br -4.4878 -3.7566 -1.6531
Br -0.8672 -4.4113 0.1404
Br 2.7534 -5.0660 1.9339
Ir 2.7260 -2.4774 -1.7514
Ir -0.8831 -1.8248 -3.5392
Tc 0.0000 0.0000 0.0000
```



(3)
The following is a PBE calculation of Li2Cd2Sn after structural relaxation, from the Alexandria database.

The total magnetization is 0.00 μB/cell. Its symmetry is Imma (74). The calculation puts the excess energy over the best structure of this formula in the dataset at 18.4 kJ/mol of formula units.

Cell and atoms, written as extended XYZ:
```
10
Lattice="4.6928 0.0000 0.0000 0.0000 3.0475 0.0000 -2.3464 -1.5238 14.8268" Properties=species:S:1:pos:R:3 pbc="T T T"
Sn 0.0000 0.7619 5.3916
Sn 2.3464 0.7619 9.4352
Li 2.3464 2.2856 6.7073
Li 0.0000 -0.7619 10.7678
Li 2.3464 2.2856 4.0590
Li 0.0000 -0.7619 8.1195
Cd 2.3464 0.7619 1.2952
Cd 2.3464 -0.7619 12.4125
Cd 0.0000 0.7619 13.5316
Cd 0.0000 2.2856 2.4142
```



(4)
The following is a PBE calculation of Ca3PdSe after structural relaxation, from the Alexandria database.

The total magnetization is 0.00 μB/cell. Its symmetry is Pm-3m (221). The calculation puts the excess energy over the best structure of this formula in the dataset at 0.0 kJ/mol of formula units. For the formation energy (no corrections), the calculation gives -2.917 eV/f.u.

Cell and atoms, written as extended XYZ:
```
5
Lattice="-4.6508 1.7202 2.2989 2.0876 -0.9787 4.9556 1.9713 5.0948 0.1758" Properties=species:S:1:pos:R:3 pbc="T T T"
Ca -2.3254 0.8601 1.1495
Ca 1.0438 -0.4894 2.4778
Ca 0.9856 2.5474 0.0879
Pd 0.0000 0.0000 0.0000
Se -0.2960 2.9181 3.7152
```



(5)
The following is a PBE calculation of AcEr2AlPd4 after structural relaxation, from the Alexandria database.

The total magnetization is 0.00 μB/cell. Its symmetry is R-3m (166).

Cell and atoms, written as extended XYZ:
```
8
Lattice="-3.4514 -0.0297 -3.2426 0.9668 -1.2065 -4.4762 -2.5795 -9.0238 -0.6300" Properties=species:S:1:pos:R:3 pbc="T T T"
Pd -3.1865 -4.6878 -6.9401
Pd -3.0475 -7.6647 -3.6026
Pd -2.0166 -2.5953 -4.7463
Pd -1.8776 -5.5722 -1.4087
Ac 0.0000 0.0000 0.0000
Er -3.7239 -7.3307 -6.3438
Er -1.3401 -2.9293 -2.0050
Al -2.5320 -5.1300 -4.1744
```



(6)
The following is a PBE calculation of Zn3CuC after structural relaxation, from the Alexandria database.

The total magnetization is 0.00 μB/cell. Its symmetry is Pm-3m (221). The calculation puts the excess energy over the best structure of this formula in the dataset at 0.0 kJ/mol of formula units.

Cell and atoms, written as extended XYZ:
```
5
Lattice="4.1130 0.0000 0.0000 0.0000 4.1130 0.0000 0.0000 0.0000 4.1130" Properties=species:S:1:pos:R:3 pbc="T T T"
C 0.0000 0.0000 0.0000
Zn 2.0565 0.0000 0.0000
Zn 0.0000 0.0000 2.0565
Zn 0.0000 2.0565 0.0000
Cu 2.0565 2.0565 2.0565
```



(7)
The following is a PBE calculation of OsI2N2 after structural relaxation, from the Alexandria database.

The total magnetization is 2.40 μB/cell. Its symmetry is P4/mmm (123). The calculation puts the excess energy over the best structure of this formula in the dataset at 101.5 kJ/mol of formula units. For the formation energy (no corrections), the calculation gives 7.061 eV/f.u.

Cell and atoms, written as extended XYZ:
```
5
Lattice="-2.1950 -5.0670 -0.8841 -0.1682 -0.8900 5.5185 -3.4190 1.4583 0.1310" Properties=species:S:1:pos:R:3 pbc="T T T"
N -2.8911 -2.2494 2.3827
N -1.7095 0.7291 0.0655
Os 0.0000 0.0000 0.0000
I -0.0841 -0.4450 2.7592
I -1.0975 -2.5335 -0.4420
```



(8)
The following is a PBE calculation of KZnCu2F8 after structural relaxation, from the Alexandria database.

The total magnetization is 1.00 μB/cell. Its symmetry is I-4 (82). For the formation energy (no corrections), the calculation gives -21.765 eV/f.u.

Cell and atoms, written as extended XYZ:
```
12
Lattice="-2.7943 4.7371 0.8916 -0.9016 -1.5261 5.2822 6.1618 0.6764 -1.6913" Properties=species:S:1:pos:R:3 pbc="T T T"
F 4.8180 0.5623 2.1940
F -0.1989 3.5919 4.3270
F 0.9826 1.9889 3.2961
F 3.5970 3.8891 0.5285
F 2.0627 1.6976 -0.2758
F -2.5734 2.2017 4.8095
F 2.0854 0.4967 1.6177
F -0.9099 1.1219 1.4332
Cu 1.7061 0.3779 3.3389
Cu -1.8480 1.6055 3.0869
K 0.7598 3.5095 1.1436
Zn 0.0000 0.0000 0.0000
```



Quick rundown of final energy, same order as above: -4.549, -6.631, -2.132, -3.520, -5.550, -2.791, -4.784, -3.942 eV/atom
Quick rundown of calculated density, same order as above: 6.82, 7.84, 5.60, 3.11, 9.63, 6.49, 6.74, 4.04 g/cm3